[1]
# Ba4AcO5 (PBE-GGA, optimized geometry)
# **Total moment**: 0.0 μB/cell
# **E_tot**: -6.19 eV/atom
data_Ba4AcO5
_cell_length_a 8.8003
_cell_length_b 8.8003
_cell_length_c 5.5320
_cell_angle_alpha 90.00
_cell_angle_beta 90.00
_cell_angle_gamma 90.00
_symmetry_space_group_name_H-M 'I 4'
_symmetry_Int_Tables_number 79
loop_
_symmetry_equiv_pos_as_xyz
'x,y,z'
'-y,x,z'
'-x,-y,z'
'y,-x,z'
'x+1/2,y+1/2,z+1/2'
'-y+1/2,x+1/2,z+1/2'
'-x+1/2,-y+1/2,z+1/2'
'y+1/2,-x+1/2,z+1/2'
loop_
_atom_site_label
_atom_site_type_symbol
_atom_site_fract_x
_atom_site_fract_y
_atom_site_fract_z
Ba1 Ba 0.1003 0.3011 0.0000
Ac1 Ac 0.0000 0.0000 0.4990
O1 O 0.0000 0.0000 0.0032
O2 O 0.0934 0.2757 0.4998

***

[2]
# RbHoCu2Sb2 (PBE-GGA, optimized geometry)
# **Total moment**: 0.0 μB/cell
# **E_tot**: -4.21 eV/atom
data_RbHoCu2Sb2
_cell_length_a 4.4690
_cell_length_b 4.4690
_cell_length_c 9.3989
_cell_angle_alpha 90.00
_cell_angle_beta 90.00
_cell_angle_gamma 120.00
_symmetry_space_group_name_H-M 'P -3 m 1'
_symmetry_Int_Tables_number 164
_symmetry_space_group_name_Hall '-P 3 2"'
loop_
_atom_site_label
_atom_site_type_symbol
_atom_site_fract_x
_atom_site_fract_y
_atom_site_fract_z
Rb1 Rb 0.0000 0.0000 0.0000
Ho1 Ho 0.0000 0.0000 0.5000
Cu1 Cu 0.3333 0.6667 0.3297
Sb1 Sb 0.3333 0.6667 0.7060

***

[3]
# Pa2GaSb (PBE-GGA, optimized geometry)
# **Total moment**: 0.0 μB/cell
# **Relative energy among the computed polymorphs**: 0 meV per atom
data_Pa2GaSb
_cell_length_a 3.4954
_cell_length_b 3.4954
_cell_length_c 7.8516
_cell_angle_alpha 90.00
_cell_angle_beta 90.00
_cell_angle_gamma 90.00
_symmetry_space_group_name_H-M 'P 4/m m m'
_symmetry_Int_Tables_number 123
_symmetry_space_group_name_Hall '-P 4 2'
loop_
_atom_site_label
_atom_site_type_symbol
_atom_site_fract_x
_atom_site_fract_y
_atom_site_fract_z
Pa1 Pa 0.0000 0.0000 0.2447
Ga1 Ga 0.5000 0.5000 0.0000
Sb1 Sb 0.5000 0.5000 0.5000

***

[4]
# Y3ScBi (PBE-GGA, optimized geometry)
# **Total moment**: 0.0 μB/cell
# **E_form**: 46.1 kJ/mol of atoms
# **Relative energy among the computed polymorphs**: 124 meV per atom
data_Y3ScBi
_cell_length_a 5.4965
_cell_length_b 5.4965
_cell_length_c 5.4965
_cell_angle_alpha 90.00
_cell_angle_beta 90.00
_cell_angle_gamma 90.00
_symmetry_space_group_name_H-M 'P m -3 m'
_symmetry_Int_Tables_number 221
_symmetry_space_group_name_Hall '-P 4 2 3'
loop_
_atom_site_label
_atom_site_type_symbol
_atom_site_fract_x
_atom_site_fract_y
_atom_site_fract_z
Y1 Y 0.0000 0.0000 0.5000
Sc1 Sc 0.0000 0.0000 0.0000
Bi1 Bi 0.5000 0.5000 0.5000

***

Which formula does entry 1 have?
Ba4AcO5

***

Repeat the fourth record exactly.
# Y3ScBi (PBE-GGA, optimized geometry)
# **Total moment**: 0.0 μB/cell
# **E_form**: 46.1 kJ/mol of atoms
# **Relative energy among the computed polymorphs**: 124 meV per atom
data_Y3ScBi
_cell_length_a 5.4965
_cell_length_b 5.4965
_cell_length_c 5.4965
_cell_angle_alpha 90.00
_cell_angle_beta 90.00
_cell_angle_gamma 90.00
_symmetry_space_group_name_H-M 'P m -3 m'
_symmetry_Int_Tables_number 221
_symmetry_space_group_name_Hall '-P 4 2 3'
loop_
_atom_site_label
_atom_site_type_symbol
_atom_site_fract_x
_atom_site_fract_y
_atom_site_fract_z
Y1 Y 0.0000 0.0000 0.5000
Sc1 Sc 0.0000 0.0000 0.0000
Bi1 Bi 0.5000 0.5000 0.5000

***

Which value of total moment does entry 3 give?
0.0 μB/cell